Material: ZrZn2Bi
Method: DFT, GGA-PBE
State: optimized geometry

Cell lengths 7.0160, 7.0160, 7.0160 Å; angles 90.00, 90.00, 90.00 degrees
Closest atoms and distances in Å follow each position.
Space group F-43m (No. 216)
One atom of each set of equivalent atoms:
Zr: 0.0000 0.0000 0.0000 x4  4 Bi 3.04, 4 Zn 3.04
Zn: 0.0000 0.0000 0.5000 x4  4 Bi 3.04, 4 Zn 3.04
Zn: 0.2500 0.2500 0.2500 x4  4 Zn 3.04, 4 Zr 3.04
Bi: 0.2500 0.2500 0.7500 x4  4 Zr 3.04, 4 Zn 3.04

* M_tot: 0.17 μB per formula unit
* E: -3.561 eV/atom

Material: CsHfAl
Method: DFT, GGA-PBE
State: optimized geometry

Cell lengths 7.4430, 7.4430, 7.4430 Å; angles 90.00, 90.00, 90.00 degrees
Closest atoms and distances in Å follow each position.
Space group F-43m (No. 216)
One atom of each set of equivalent atoms:
Cs: 0.0000 0.0000 0.0000 x4  4 Al 3.22
Hf: 0.0000 0.0000 0.5000 x4  4 Al 3.22
Al: 0.2500 0.2500 0.2500 x4  4 Hf 3.22, 4 Cs 3.22

* M_tot: 0.02 μB per formula unit
* E above lowest polymorph: 0.103 eV per atom
* E: -3.476 eV/atom